A relaxed structure of PrHoGa. Source: Alexandria via LeMat-Bulk, functional PBE.

Cell: 3.546 3.546 13.281 Å, 90.00 90.00 90.00°
Space group I4mm (No. 107)
Unique sites:
Pr (0.000, 0.000, 0.000) [2 per cell]
Ho (0.000, 0.000, 0.288) [2 per cell]
Ga (0.000, 0.000, 0.654) [2 per cell]

Results
- theoretical density (kg/m³) = 7467
- energy relative to the lowest polymorph listed for this composition (meV per atom) = 60.3
- calculated total energy (eV for the cell shown) = -26.823
- density of states at the Fermi level (states/eV per atom) = 0.84
- formation enthalpy at 0 K (eV per atom) = -0.3425



A relaxed structure of Ac3Cu2Si3. Source: Alexandria via LeMat-Bulk, functional PBE.

Cell: 4.324 11.438 15.956 Å, 90.00 90.00 90.00°
Space group Cmcm (No. 63)
Unique sites:
Ac (0.000, 0.057, 0.250) [4 per cell]
Ac (0.000, 0.350, 0.095) [8 per cell]
Cu (0.000, 0.363, 0.615) [8 per cell]
Si (0.000, 0.073, 0.054) [8 per cell]
Si (0.000, 0.233, 0.750) [4 per cell]

Results
- theoretical density (kg/m³) = 7511
- energy relative to the lowest polymorph listed for this composition (meV per atom) = 0.0
- calculated total energy (eV for the cell shown) = -163.558
- density of states at the Fermi level (states/eV per atom) = 0.70
- formation energy (no corrections) (eV per atom) = -0.513



A relaxed structure of MoIrAu2. Source: Alexandria via LeMat-Bulk, functional PBE.

Cell: 2.885 4.209 5.397 Å, 90.00 90.00 90.00°
Space group Pmmm (No. 47)
Unique sites:
Mo (0.000, 0.000, 0.000) [1 per cell]
Ir (0.000, 0.000, 0.500) [1 per cell]
Au (0.500, 0.500, 0.248) [2 per cell]

Results
- theoretical density (kg/m³) = 17279
- energy relative to the lowest polymorph listed for this composition (meV per atom) = 318.2
- calculated total energy (eV for the cell shown) = -24.927
- density of states at the Fermi level (states/eV per atom) = 0.68
- formation enthalpy at 0 K (eV per atom) = 0.3300